1.
## Ni2AgH (PBE)

Data for a geometry-optimized Ni2AgH structure.

Symmetry ... No. 225
Energy above the lowest structure with this stoichiometry ... 624 meV per atom

Cell: 4.066 4.066 4.066 Å, 60.00 60.00 60.00°
Atoms (fractional coordinates):
1 Ni 0.250 0.250 0.250
2 Ni 0.750 0.750 0.750
3 Ag 0.000 0.000 0.000
4 H 0.500 0.500 0.500

---

2.
## NiAgH (PBE)

Data for a geometry-optimized NiAgH structure.

Symmetry ... No. 107
Energy above the lowest structure with this stoichiometry ... 145 meV per atom

Cell: 5.167 5.167 5.167 Å, 150.61 150.61 42.05°
Atoms (fractional coordinates):
1 Ni 0.000 0.000 0.000
2 Ag 0.275 0.275 0.000
3 H 0.516 0.516 0.000

---

3.
## NiAgH2 (PBE)

Data for a geometry-optimized NiAgH2 structure.

Symmetry ... No. 122
Energy above the lowest structure with this stoichiometry ... 41 meV per atom

Cell: 5.131 5.131 5.131 Å, 132.21 132.21 69.90°
Atoms (fractional coordinates):
1 Ni 0.000 0.000 0.000
2 Ni 0.750 0.250 0.500
3 Ag 0.250 0.750 0.500
4 Ag 0.500 0.500 0.000
5 H 0.039 0.625 0.914
6 H 0.375 0.289 0.414
7 H 0.711 0.125 0.086
8 H 0.875 0.961 0.586

---

4.
## Ni5AgH8 (PBE)

Data for a geometry-optimized Ni5AgH8 structure.

Uncorrected energy ... -4.16 eV per atom
Symmetry ... No. 8

Cell: 6.395 6.395 6.718 Å, 112.74 112.74 23.90°
Atoms (fractional coordinates):
1 Ni 0.000 0.000 0.000
2 Ni 0.254 0.254 0.665
3 Ni 0.516 0.516 0.349
4 Ni 0.613 0.613 0.782
5 Ni 0.915 0.915 0.586
6 Ag 0.719 0.719 0.211
7 H 0.075 0.075 0.271
8 H 0.202 0.202 0.869
9 H 0.325 0.325 0.493
10 H 0.441 0.441 0.082
11 H 0.495 0.495 0.823
12 H 0.654 0.654 0.575
13 H 0.850 0.850 0.773
14 H 0.934 0.934 0.360